No. 1
Here is crystalline Cs2ThBi2Se6 at its relaxed geometry from Alexandria. Energies are from PBE.

Properties
The value obtained for the total magnetization is 0.00 μB/f.u. Its calculated total energy is -47.67 eV per formula unit. As for the crystal system: monoclinic. The volume is 39.86 A^3/atom.

Structure (POSCAR):
```
Cs2ThBi2Se6
1.0
8.026 0.000 0.000
-4.013 6.321 0.002
0.000 -3.512 8.641
Cs Th Bi Se
2 1 2 6
direct
0.693 0.386 0.139
0.307 0.614 0.861
0.500 0.000 0.500
0.922 0.845 0.787
0.078 0.155 0.213
0.734 0.469 0.534
0.215 0.905 0.239
0.310 0.095 0.761
0.785 0.095 0.761
0.690 0.905 0.239
0.266 0.531 0.466
```


No. 2
Here is crystalline TaMnRu2C at its relaxed geometry from Alexandria. Energies are from PBE.

Properties
The value obtained for the total magnetization is 0.22 μB/f.u. The calculation puts the calculated formation energy at -0.116 eV/atom. As for the crystal system: tetragonal. The volume is 12.65 A^3/atom.

Structure (POSCAR):
```
TaMnRu2C
1.0
4.022 0.000 0.000
0.000 4.022 0.000
0.000 0.000 3.908
Ru C Mn Ta
2 1 1 1
direct
0.000 0.500 0.000
0.500 0.000 0.000
0.000 0.000 0.000
0.000 0.000 0.500
0.500 0.500 0.500
```


No. 3
Here is crystalline Ca2MgGa3Pt4 at its relaxed geometry from Alexandria. Energies are from PBE.

Properties
The value obtained for the total magnetization is 0.00 μB/f.u. The calculation puts the calculated formation energy at -0.880 eV/atom. As for the crystal system: tetragonal. The volume is 19.31 A^3/atom.

Structure (POSCAR):
```
Ca2MgGa3Pt4
1.0
-3.827 -1.311 0.876
0.578 -3.308 -2.421
3.993 -5.759 8.824
Ca Mg Ga Pt
2 1 3 4
direct
0.500 0.000 0.245
0.000 0.500 0.755
0.500 0.500 0.500
0.000 0.000 0.500
0.500 0.000 0.868
0.000 0.500 0.132
0.500 0.500 0.000
0.000 0.000 0.000
0.500 0.000 0.645
0.000 0.500 0.355
```


No. 4
Here is crystalline Nd8DySc2 at its relaxed geometry from Alexandria. Energies are from PBE.

Properties
The value obtained for the total magnetization is 0.00 μB/f.u. The calculation puts the calculated formation energy at 0.157 eV/atom. As for the crystal system: monoclinic. The volume is 33.37 A^3/atom. For the distance to the lowest polymorph of the same formula, the calculation gives 0.034 eV per atom.

Structure (POSCAR):
```
Nd8DySc2
1.0
-5.012 -1.804 2.552
-0.153 -3.417 8.377
-1.218 5.721 7.198
Nd Dy Sc
8 1 2
direct
0.829 0.096 0.239
0.829 0.336 0.761
0.294 0.420 0.000
0.500 0.792 0.417
0.500 0.208 0.583
0.706 0.580 0.000
0.171 0.664 0.239
0.171 0.904 0.761
0.500 0.000 0.000
0.000 0.310 0.380
0.000 0.690 0.620
```


No. 5
Here is crystalline CaAc2Tl at its relaxed geometry from Alexandria. Energies are from PBE.

Properties
The value obtained for the total magnetization is 0.00 μB/f.u. The calculation puts the calculated formation energy at -0.101 eV/atom. As for the crystal system: cubic. The volume is 37.79 A^3/atom. For the distance to the lowest polymorph of the same formula, the calculation gives 0.036 eV per atom.

Structure (POSCAR):
```
CaAc2Tl
1.0
5.980 0.000 0.000
2.990 5.178 0.000
2.990 1.726 4.882
Ac Ca Tl
2 1 1
direct
0.250 0.250 0.250
0.750 0.750 0.750
0.000 0.000 0.000
0.500 0.500 0.500
```


No. 6
Here is crystalline YMn2Al at its relaxed geometry from Alexandria. Energies are from PBE.

Properties
The value obtained for the total magnetization is 6.21 μB/f.u. The calculation puts the calculated formation energy at 0.173 eV/atom. As for the crystal system: monoclinic. The volume is 18.42 A^3/atom.

Structure (POSCAR):
```
YMn2Al
1.0
-0.638 3.315 -2.557
-0.870 -1.880 -2.220
-5.813 -0.485 0.823
Y Mn Al
1 2 1
direct
0.500 0.250 0.250
0.000 0.939 0.956
0.000 0.561 0.544
0.500 0.750 0.750
```


No. 7
Here is crystalline Pm2Sm3Y4 at its relaxed geometry from Alexandria. Energies are from PBE.

Properties
The value obtained for the total magnetization is 0.00 μB/f.u. The calculation puts the calculated formation energy at 0.208 eV/atom. As for the crystal system: monoclinic. The volume is 35.06 A^3/atom. For the distance to the lowest polymorph of the same formula, the calculation gives 0.116 eV per atom.

Structure (POSCAR):
```
Pm2Sm3Y4
1.0
4.614 0.000 1.095
2.024 5.610 1.740
-0.509 1.552 12.418
Pm Sm Y
2 3 4
direct
0.846 0.728 0.580
0.154 0.272 0.420
0.000 0.000 0.000
0.575 0.637 0.212
0.425 0.363 0.788
0.862 0.990 0.285
0.138 0.010 0.715
0.716 0.667 0.902
0.284 0.333 0.098
```


No. 8
Here is crystalline ZrTe2Mo at its relaxed geometry from Alexandria. Energies are from PBE.

Properties
The value obtained for the total magnetization is 0.00 μB/f.u. As for the crystal system: orthorhombic. The volume is 27.78 A^3/atom. For the distance to the lowest polymorph of the same formula, the calculation gives 0.049 eV per atom.

Structure (POSCAR):
```
ZrTe2Mo
1.0
-4.866 -5.654 -1.322
-0.359 -5.879 -4.764
3.526 4.201 5.227
Mo Te Zr
1 2 1
direct
0.250 0.750 0.500
0.099 0.099 0.000
0.401 0.401 0.000
0.750 0.250 0.500
```


No. 9
Here is crystalline PrSm3Rh2 at its relaxed geometry from Alexandria. Energies are from PBE.

Properties
The value obtained for the total magnetization is 0.00 μB/f.u. The calculation puts the calculated formation energy at -0.506 eV/atom. As for the crystal system: monoclinic. The volume is 29.54 A^3/atom.

Structure (POSCAR):
```
PrSm3Rh2
1.0
4.283 0.000 0.000
2.141 8.320 0.389
2.141 2.441 10.061
Pr Sm Rh
2 6 4
direct
0.443 0.403 0.710
0.557 0.597 0.290
0.075 0.023 0.827
0.925 0.977 0.173
0.710 0.669 0.911
0.290 0.331 0.089
0.826 0.808 0.540
0.174 0.192 0.460
0.882 0.324 0.913
0.118 0.676 0.087
0.634 0.088 0.645
0.366 0.912 0.355
```


No. 10
Here is crystalline LiZn2As at its relaxed geometry from Alexandria. Energies are from PBE.

Properties
The value obtained for the total magnetization is 0.00 μB/f.u. The calculation puts the calculated formation energy at -0.131 eV/atom. As for the crystal system: cubic. The volume is 16.54 A^3/atom.

Structure (POSCAR):
```
LiZn2As
1.0
4.539 0.000 0.000
2.270 3.931 0.000
2.270 1.310 3.706
As Li Zn
1 1 2
direct
0.500 0.500 0.500
0.750 0.750 0.750
0.000 0.000 0.000
0.250 0.250 0.250
```


No. 11
Here is crystalline Tl3Fe at its relaxed geometry from Alexandria. Energies are from PBE.

Properties
The value obtained for the total magnetization is 2.73 μB/f.u. The calculation puts the calculated formation energy at 0.453 eV/atom. As for the crystal system: hexagonal. The volume is 24.95 A^3/atom.

Structure (POSCAR):
```
Tl3Fe
1.0
3.389 0.000 0.000
-1.695 2.935 0.000
0.000 0.000 10.034
Fe Tl
1 3
direct
0.000 0.000 0.000
0.000 0.000 0.500
0.667 0.333 0.210
0.667 0.333 0.790
```


No. 12
Here is crystalline Dy2Cd3Rh2 at its relaxed geometry from Alexandria. Energies are from PBE.

Properties
The value obtained for the total magnetization is 0.00 μB/f.u. The calculation puts the calculated formation energy at -0.504 eV/atom. As for the crystal system: monoclinic. The volume is 21.75 A^3/atom.

Structure (POSCAR):
```
Dy2Cd3Rh2
1.0
-4.032 -0.561 -0.551
2.045 -3.309 3.721
-1.430 5.690 4.672
Dy Cd Rh
2 3 2
direct
0.624 0.249 0.364
0.376 0.751 0.636
0.305 0.611 0.132
0.000 0.000 0.000
0.695 0.389 0.868
0.090 0.181 0.647
0.910 0.819 0.353
```


Question: Which formula does entry 12 have?
Answer: Dy2Cd3Rh2